(1)
## RbTi3Sb (PBE)

Data for RbTi3Sb after structural relaxation.

Calculated values
Fermi-level density of states ... 2.627 states/eV/atom
Polymorph energy (0 for the lowest one) ... 0 meV per atom
Density ... 4.0 g/cm³
Raw total energy ... -23.600 eV per formula unit
Raw formation energy ... 1035 meV/atom
Space-group type ... Pm-3m, No. 221
Crystal system ... cubic

a b c (Å): 5.274 5.274 5.274
angles (deg): 90.00 90.00 90.00
Sites, in units of the cell vectors:
Sb  0.000  0.000  0.000
Ti  0.000  0.500  0.000
Ti  0.500  0.000  0.000
Ti  0.000  0.000  0.500
Rb  0.500  0.500  0.500


(2)
## Ac2SbI (PBE)

Data for Ac2SbI after structural relaxation.

Calculated values
Fermi-level density of states ... 0.818 states/eV/atom
Polymorph energy (0 for the lowest one) ... 60 meV per atom
Density ... 8.5 g/cm³
Raw total energy ... -18.042 eV per formula unit
Raw formation energy ... -1038 meV/atom
Space-group type ... Fm-3m, No. 225
Crystal system ... cubic

a b c (Å): 5.789 5.789 5.789
angles (deg): 60.00 60.00 60.00
Sites, in units of the cell vectors:
Sb  0.500  0.500  0.500
I  0.000  0.000  0.000
Ac  0.250  0.250  0.250
Ac  0.750  0.750  0.750


(3)
## La8Tb2Mg (PBE)

Data for La8Tb2Mg after structural relaxation.

Calculated values
Fermi-level density of states ... 1.441 states/eV/atom
Polymorph energy (0 for the lowest one) ... 49 meV per atom
ΔH_f (0 K) ... 9.13 kJ per mole of atoms
Density ... 6.3 g/cm³
Raw total energy ... -49.233 eV per formula unit
Space-group type ... C2/m, No. 12
Crystal system ... monoclinic

a b c (Å): 6.226 10.291 10.291
angles (deg): 39.18 67.63 67.63
Sites, in units of the cell vectors:
La  0.788  0.464  0.464
La  0.330  0.101  0.101
La  0.670  0.899  0.899
La  0.669  0.425  0.887
La  0.331  0.575  0.113
La  0.331  0.113  0.575
La  0.212  0.536  0.536
La  0.669  0.887  0.425
Tb  0.905  0.277  0.277
Tb  0.095  0.723  0.723
Mg  0.000  0.000  0.000


(4)
## HoMg2Zr (PBE)

Data for HoMg2Zr after structural relaxation.

Calculated values
Fermi-level density of states ... 1.095 states/eV/atom
Polymorph energy (0 for the lowest one) ... 16 meV per atom
ΔH_f (0 K) ... 2.49 kJ per mole of atoms
Density ... 5.2 g/cm³
Raw total energy ... -16.212 eV per formula unit
Space-group type ... P4/mmm, No. 123
Crystal system ... tetragonal

a b c (Å): 3.619 3.619 7.384
angles (deg): 90.00 90.00 90.00
Sites, in units of the cell vectors:
Mg  0.000  0.000  0.768
Mg  0.000  0.000  0.232
Zr  0.500  0.500  0.000
Ho  0.500  0.500  0.500


(5)
## BSbTe2Mo (PBE)

Data for BSbTe2Mo after structural relaxation.

Calculated values
Fermi-level density of states ... 0.524 states/eV/atom
Polymorph energy (0 for the lowest one) ... 0 meV per atom
Density ... 7.4 g/cm³
Raw total energy ... -22.430 eV per formula unit
Raw formation energy ... 1097 meV/atom
Space-group type ... P4/mmm, No. 123
Crystal system ... tetragonal

a b c (Å): 4.789 4.789 4.734
angles (deg): 90.00 90.00 90.00
Last column: magnetic moment on the atom in μB.
Sites, in units of the cell vectors:
B  0.000  0.000  0.000  -0.04
Sb  0.000  0.000  0.500  -0.11
Mo  0.500  0.500  0.500  2.51
Te  0.000  0.500  0.000  -0.10
Te  0.500  0.000  0.000  -0.10


(6)
## ZrScCu (PBE)

Data for ZrScCu after structural relaxation.

Calculated values
Fermi-level density of states ... 1.227 states/eV/atom
Polymorph energy (0 for the lowest one) ... 32 meV per atom
ΔH_f (0 K) ... -11.62 kJ per mole of atoms
Density ... 5.6 g/cm³
Raw total energy ... -19.337 eV per formula unit
Space-group type ... Cmcm, No. 63
Crystal system ... orthorhombic

a b c (Å): 3.265 4.387 8.404
angles (deg): 90.00 101.20 90.00
Sites, in units of the cell vectors:
Sc  0.405  0.250  0.810
Sc  0.595  0.750  0.190
Cu  0.959  0.750  0.918
Cu  0.041  0.250  0.082
Zr  0.209  0.250  0.418
Zr  0.791  0.750  0.582